This record from Alexandria describes a geometry-optimized Ho4Zn2Cu structure. The functional is PBE-GGA.

Calculated values
- ρ (g/cm3) = 8.321
- formation enthalpy at 0 K (eV/atom) = -0.173
- total magnetic moment (μB per formula unit) = 0.00
- space group = I4/mmm (139)

Cell: 6.0497 6.0497 6.0497 Å, 109.19 109.61 109.61°
Last column: nearest neighbours and their distance in Å.
Positions (direct):
Ho 0.0000 0.0000 0.5000  4 Zn 3.02, 2 Cu 3.02
Ho 0.5000 0.5000 0.5000  4 Zn 3.02, 2 Cu 3.02
Ho 0.0000 0.5000 0.0000  4 Zn 3.02, 2 Cu 3.02
Ho 0.5000 0.0000 0.0000  2 Cu 3.02, 4 Zn 3.02
Zn 0.5000 0.5000 0.0000  8 Ho 3.02
Zn 0.5000 0.0000 0.5000  8 Ho 3.02
Cu 0.0000 0.0000 0.0000  8 Ho 3.02

=====

This record from Alexandria describes a geometry-optimized Ho2Zn5Cu5 structure. The functional is PBE-GGA.

Calculated values
- ρ (g/cm3) = 8.449
- formation enthalpy at 0 K (eV/atom) = -0.249
- total magnetic moment (μB per formula unit) = 0.00
- energy relative to the lowest polymorph listed for this composition (eV per formula unit) = 0.47
- space group = Pmmm (47)

Cell: 4.0708 5.1769 9.0889 Å, 90.00 90.00 90.00°
Last column: nearest neighbours and their distance in Å.
Positions (direct):
Zn 0.0000 0.0000 0.8259  4 Cu 2.52, 2 Zn 2.58
Zn 0.5000 0.0000 0.0000  4 Zn 2.58, 4 Cu 2.63
Zn 0.0000 0.5000 0.3332  6 Cu 2.52-2.54
Zn 0.0000 0.0000 0.1741  4 Cu 2.52, 2 Zn 2.58
Zn 0.0000 0.5000 0.6668  6 Cu 2.52-2.54
Cu 0.5000 0.5000 0.5000  4 Zn 2.54, 4 Cu 2.60
Cu 0.5000 0.7484 0.7485  5 Zn 2.52-2.63, 3 Cu 2.57-2.60
Cu 0.5000 0.2516 0.2515  5 Zn 2.52-2.63, 3 Cu 2.57-2.60
Cu 0.5000 0.7484 0.2515  5 Zn 2.52-2.63, 3 Cu 2.57-2.60
Cu 0.5000 0.2516 0.7485  5 Zn 2.52-2.63, 3 Cu 2.57-2.60
Ho 0.0000 0.0000 0.5000  6 Zn 2.96-3.00, 12 Cu 3.29-3.31
Ho 0.0000 0.5000 0.0000  10 Zn 3.03-3.29, 8 Cu 3.32

=====

This record from Alexandria describes a geometry-optimized Ho2Zn6Cu9 structure. The functional is PBE-GGA.

Calculated values
- ρ (g/cm3) = 7.694
- formation enthalpy at 0 K (eV/atom) = -0.096
- total magnetic moment (μB per formula unit) = 0.00
- space group = P6/mmm (191)

Cell: 5.1078 5.1078 12.3631 Å, 90.00 90.00 120.00°
Last column: nearest neighbours and their distance in Å.
Positions (direct):
Zn 0.3333 0.6667 0.6654  6 Cu 2.52-2.53
Zn 0.6667 0.3333 0.3346  6 Cu 2.52-2.53
Zn 0.6667 0.3333 0.0000  6 Cu 2.55
Zn 0.3333 0.6667 0.0000  6 Cu 2.55
Zn 0.6667 0.3333 0.6654  6 Cu 2.52-2.53
Zn 0.3333 0.6667 0.3346  6 Cu 2.52-2.53
Cu 0.5000 0.0000 0.1679  4 Zn 2.53-2.55, 4 Cu 2.55
Cu 0.5000 0.5000 0.8321  4 Zn 2.53-2.55, 4 Cu 2.55
Cu 0.5000 0.0000 0.8321  4 Zn 2.53-2.55, 4 Cu 2.55
Cu 0.5000 0.5000 0.1679  4 Zn 2.53-2.55, 4 Cu 2.55
Cu 0.0000 0.5000 0.8321  4 Zn 2.53-2.55, 4 Cu 2.55
Cu 0.0000 0.5000 0.5000  4 Zn 2.52, 4 Cu 2.55
Cu 0.0000 0.5000 0.1679  4 Zn 2.53-2.55, 4 Cu 2.55
Cu 0.5000 0.0000 0.5000  4 Zn 2.52, 4 Cu 2.55
Cu 0.5000 0.5000 0.5000  4 Zn 2.52, 4 Cu 2.55
Ho 0.0000 0.0000 0.6693  6 Zn 2.95, 12 Cu 3.25-3.30
Ho 0.0000 0.0000 0.3307  6 Zn 2.95, 12 Cu 3.25-3.30

=====

This record from Alexandria describes a geometry-optimized HoZn2Cu5 structure. The functional is PBE-GGA.

Calculated values
- ρ (g/cm3) = 8.261
- formation enthalpy at 0 K (eV/atom) = -0.093
- total magnetic moment (μB per formula unit) = 0.00
- space group = Immm (71)

Cell: 3.6540 6.3023 6.3023 Å, 64.77 73.15 73.15°
Last column: nearest neighbours and their distance in Å.
Positions (direct):
Ho 0.0000 0.0000 0.0000  10 Cu 3.06-3.38, 4 Zn 3.09
Zn 0.2512 0.2488 0.2488  7 Cu 2.43-2.55
Zn 0.7488 0.7512 0.7512  7 Cu 2.43-2.55
Cu 0.3738 0.4376 0.8149  3 Zn 2.43-2.55, 4 Cu 2.52-2.56
Cu 0.3738 0.8149 0.4376  3 Zn 2.43-2.55, 4 Cu 2.52-2.56
Cu 0.6262 0.5624 0.1851  3 Zn 2.43-2.55, 4 Cu 2.52-2.56
Cu 0.0000 0.5000 0.5000  2 Zn 2.51, 8 Cu 2.56
Cu 0.6262 0.1851 0.5624  3 Zn 2.43-2.55, 4 Cu 2.52-2.56

=====

This record from Alexandria describes a geometry-optimized HoZn2Cu3 structure. The functional is PBE-GGA.

Calculated values
- ρ (g/cm3) = 8.502
- formation enthalpy at 0 K (eV/atom) = -0.203
- total magnetic moment (μB per formula unit) = 0.00
- space group = P6_3/mmc (194)

Cell: 4.2595 4.2595 12.0914 Å, 90.00 90.00 120.00°
Last column: nearest neighbours and their distance in Å.
Positions (direct):
Ho 0.0000 0.0000 0.7500  8 Cu 2.87-3.02, 6 Zn 3.20
Ho 0.0000 0.0000 0.2500  8 Cu 2.87-3.02, 6 Zn 3.20
Zn 0.3333 0.6667 0.5812  7 Cu 2.52-2.65
Zn 0.6667 0.3333 0.0812  7 Cu 2.52-2.65
Zn 0.6667 0.3333 0.4188  7 Cu 2.52-2.65
Zn 0.3333 0.6667 0.9188  7 Cu 2.52-2.65
Cu 0.3333 0.6667 0.3728  4 Zn 2.52
Cu 0.6667 0.3333 0.8728  4 Zn 2.52
Cu 0.6667 0.3333 0.6272  4 Zn 2.52
Cu 0.0000 0.0000 0.0000  6 Zn 2.65, 6 Cu 2.90
Cu 0.3333 0.6667 0.1272  4 Zn 2.52
Cu 0.0000 0.0000 0.5000  6 Zn 2.65, 6 Cu 2.90

=====

This record from Alexandria describes a geometry-optimized Ho3Zn2Cu3 structure. The functional is PBE-GGA.

Calculated values
- ρ (g/cm3) = 8.647
- formation enthalpy at 0 K (eV/atom) = -0.270
- total magnetic moment (μB per formula unit) = 0.00
- space group = Pnma (62)

Cell: 5.4917 7.5318 15.1578 Å, 90.00 90.00 90.00°
Last column: nearest neighbours and their distance in Å.
Positions (direct):
Cu 0.4104 0.6815 0.9657  3 Zn 2.42-2.52
Cu 0.0896 0.1815 0.5343  3 Zn 2.42-2.52
Cu 0.3866 0.6786 0.2500  2 Zn 2.63, 1 Ho 2.93
Cu 0.4104 0.6815 0.5343  3 Zn 2.42-2.52
Cu 0.5896 0.3185 0.4657  3 Zn 2.42-2.52
Cu 0.8866 0.8214 0.7500  2 Zn 2.63, 1 Ho 2.93
Cu 0.0896 0.1815 0.9657  3 Zn 2.42-2.52
Cu 0.9104 0.8185 0.0343  3 Zn 2.42-2.52
Cu 0.6134 0.3214 0.7500  2 Zn 2.63, 1 Ho 2.93
Cu 0.5896 0.3185 0.0343  3 Zn 2.42-2.52
Cu 0.1134 0.1786 0.2500  2 Zn 2.63, 1 Ho 2.93
Cu 0.9104 0.8185 0.4657  3 Zn 2.42-2.52
Ho 0.3572 0.9591 0.3952  6 Cu 2.88-3.18, 3 Zn 2.95-3.03
Ho 0.8572 0.5409 0.8952  6 Cu 2.88-3.18, 3 Zn 2.95-3.03
Ho 0.8833 0.8219 0.2500  5 Cu 2.93-3.27, 4 Zn 3.01-3.09
Ho 0.1167 0.1781 0.7500  5 Cu 2.93-3.27, 4 Zn 3.01-3.09
Ho 0.1428 0.4591 0.1048  6 Cu 2.88-3.18, 3 Zn 2.95-3.03
Ho 0.6167 0.3219 0.2500  5 Cu 2.93-3.27, 4 Zn 3.01-3.09
Ho 0.8572 0.5409 0.6048  6 Cu 2.88-3.18, 3 Zn 2.95-3.03
Ho 0.6428 0.0409 0.6048  6 Cu 2.88-3.18, 3 Zn 2.95-3.03
Ho 0.3833 0.6781 0.7500  5 Cu 2.93-3.27, 4 Zn 3.01-3.09
Ho 0.6428 0.0409 0.8952  6 Cu 2.88-3.18, 3 Zn 2.95-3.03
Ho 0.1428 0.4591 0.3952  6 Cu 2.88-3.18, 3 Zn 2.95-3.03
Ho 0.3572 0.9591 0.1048  6 Cu 2.88-3.18, 3 Zn 2.95-3.03
Zn 0.3622 0.3875 0.8937  4 Cu 2.42-2.63
Zn 0.8622 0.1125 0.3937  4 Cu 2.42-2.63
Zn 0.6378 0.6125 0.3937  4 Cu 2.42-2.63
Zn 0.8622 0.1125 0.1063  4 Cu 2.42-2.63
Zn 0.1378 0.8875 0.6063  4 Cu 2.42-2.63
Zn 0.6378 0.6125 0.1063  4 Cu 2.42-2.63
Zn 0.1378 0.8875 0.8937  4 Cu 2.42-2.63
Zn 0.3622 0.3875 0.6063  4 Cu 2.42-2.63